No. 1
Below is a relaxed Co2IrCl crystal, with properties calculated at the GGA-PBE level.

Cell and atoms, written as POSCAR:
```
Co2IrCl
1.0
2.832 0.000 0.000
0.000 2.832 0.000
0.000 0.000 6.923
Co Ir Cl
2 1 1
direct
0.000 0.000 0.243
0.000 0.000 0.757
0.500 0.500 0.000
0.500 0.500 0.500
```

Its electronic total energy is -5.85 eV per atom. As for the offset from the most stable computed form: 116 meV/atom. Its formation energy from raw total energies is 377.6 meV/atom.

No. 2
Below is a relaxed TlCrCoCl6 crystal, with properties calculated at the GGA-PBE level.

Cell and atoms, written as POSCAR:
```
TlCrCoCl6
1.0
3.137 -5.437 0.000
3.137 5.437 0.000
-0.044 0.000 7.197
Tl Cr Co Cl
1 1 1 6
direct
0.000 0.000 0.000
0.333 0.667 0.500
0.667 0.333 0.500
0.008 0.635 0.311
0.009 0.376 0.687
0.365 0.992 0.689
0.370 0.380 0.309
0.620 0.630 0.691
0.624 0.991 0.313
```

Its electronic total energy is -4.25 eV per atom. Its formation energy from raw total energies is -899.2 meV/atom.